Record 1
This record from Alexandria describes Rb2ZnAu after structural relaxation. The functional is PBE.

Formation energy from the elements = 0.1282 eV/atom
Crystal system = trigonal
ρ = 3136 kg/m³
Fermi-level density of states = 3.6 states/eV/f.u.

abc: 4.7746 4.7746 34.8693
angles: 90.00 90.00 120.00
Space group R-3m (No. 166, hexagonal axes)
Asymmetric unit:
Rb  0.0000  0.0000  0.1074 [6 per cell]
Zn  0.0000  0.0000  0.0000 [3 per cell]
Au  0.0000  0.0000  0.5000 [3 per cell]



Record 2
This record from Alexandria describes RbZn2Au3 after structural relaxation. The functional is PBE.

Formation energy from the elements = -0.2434 eV/atom
Crystal system = orthorhombic
ρ = 9963 kg/m³
Polymorph energy (0 for the lowest one) = 62 meV per atom
Fermi-level density of states = 2.1 states/eV/f.u.

abc: 7.184 11.382 6.581
angles: 90.00 90.00 90.00
Space group Imma (No. 74)
Asymmetric unit:
Rb  0.000  0.250  0.230 [4 per cell]
Zn  0.000  0.081  0.690 [8 per cell]
Au  0.203  0.000  0.000 [8 per cell]
Au  0.250  0.250  0.750 [4 per cell]



Record 3
This record from Alexandria describes Rb2ZnAu2 after structural relaxation. The functional is PBE.

Formation energy from the elements = -0.1553 eV/atom
Crystal system = tetragonal
ρ = 5811 kg/m³
Polymorph energy (0 for the lowest one) = 64 meV per atom
Fermi-level density of states = 2.2 states/eV/f.u.

abc: 6.796 6.796 7.798
angles: 90.00 90.00 90.00
Space group I4/mmm (No. 139)
Asymmetric unit:
Rb  0.000  0.500  0.250 [4 per cell]
Zn  0.000  0.000  0.000 [2 per cell]
Au  0.000  0.000  0.326 [4 per cell]



Record 4
This record from Alexandria describes RbZn2Au3 after structural relaxation. The functional is PBE.

Formation energy from the elements = -0.3056 eV/atom
Crystal system = orthorhombic
ρ = 9727 kg/m³
Polymorph energy (0 for the lowest one) = 0 meV per atom
Fermi-level density of states = 1.5 states/eV/f.u.

abc: 11.605 8.429 5.635
angles: 90.00 90.00 90.00
Space group Cmcm (No. 63)
Asymmetric unit:
Rb  0.000  0.151  0.250 [4 per cell]
Zn  0.189  0.500  0.000 [8 per cell]
Au  0.000  0.412  0.750 [4 per cell]
Au  0.210  0.228  0.750 [8 per cell]



Record 5
This record from Alexandria describes RbZn3Au2 after structural relaxation. The functional is PBE.

Formation energy from the elements = -0.1827 eV/atom
Crystal system = orthorhombic
ρ = 8263 kg/m³
Polymorph energy (0 for the lowest one) = 10 meV per atom
Fermi-level density of states = 2.0 states/eV/f.u.

abc: 11.084 8.398 5.835
angles: 90.00 90.00 90.00
Space group Cmcm (No. 63)
Asymmetric unit:
Rb  0.000  0.147  0.250 [4 per cell]
Zn  0.000  0.413  0.750 [4 per cell]
Zn  0.201  0.229  0.750 [8 per cell]
Au  0.196  0.500  0.000 [8 per cell]



Record 6
This record from Alexandria describes Rb3Zn2Au4 after structural relaxation. The functional is PBE.

Formation energy from the elements = -0.2412 eV/atom
Crystal system = monoclinic
ρ = 7299 kg/m³
Fermi-level density of states = 3.9 states/eV/f.u.

abc: 12.613 4.686 9.498
angles: 90.00 107.76 90.00
Space group C2/m (No. 12)
Asymmetric unit:
Rb  0.000  0.000  0.000 [2 per cell]
Rb  0.127  0.500  0.379 [4 per cell]
Zn  0.173  0.500  0.787 [4 per cell]
Au  0.085  0.000  0.635 [4 per cell]
Au  0.249  0.000  0.913 [4 per cell]